A relaxed structure of GdMgCd2. Source: Alexandria via LeMat-Bulk, functional PBE.

abc: 5.0057 5.0057 3.9424
angles: 90.00 90.00 90.00
Last column: nearest neighbours and their distance in Å.
Positions (direct):
Gd  0.0000  0.0000  0.0000  8 Cd 3.19, 4 Mg 3.54
Mg  0.5000  0.5000  0.0000  8 Cd 3.19, 4 Gd 3.54
Cd  0.0000  0.5000  0.5000  4 Mg 3.19, 4 Gd 3.19, 4 Cd 3.54
Cd  0.5000  0.0000  0.5000  4 Mg 3.19, 4 Gd 3.19, 4 Cd 3.54

Summary:
- Excess energy over the best structure of this formula in the dataset: 0.31 eV per formula unit


A relaxed structure of GdMgCd2. Source: Alexandria via LeMat-Bulk, functional PBE.

abc: 3.4258 3.4258 8.1690
angles: 90.00 90.00 90.00
Last column: nearest neighbours and their distance in Å.
Positions (direct):
Gd  0.0000  0.0000  0.0000  8 Cd 3.28, 4 Gd 3.43
Mg  0.0000  0.0000  0.5000  8 Cd 3.06, 4 Mg 3.43
Cd  0.5000  0.5000  0.2713  4 Mg 3.06, 4 Gd 3.28, 4 Cd 3.43
Cd  0.5000  0.5000  0.7287  4 Mg 3.06, 4 Gd 3.28, 4 Cd 3.43

Summary:
- Excess energy over the best structure of this formula in the dataset: 0.24 eV per formula unit


A relaxed structure of NaGdMgCd. Source: Alexandria via LeMat-Bulk, functional PBE.

abc: 5.2193 5.2193 5.2193
angles: 60.00 60.00 60.00
Last column: nearest neighbours and their distance in Å.
Positions (direct):
Na  0.0000  0.0000  0.0000  4 Gd 3.20, 4 Mg 3.20
Gd  0.2500  0.2500  0.2500  4 Cd 3.20, 4 Na 3.20
Mg  0.7500  0.7500  0.7500  4 Cd 3.20, 4 Na 3.20
Cd  0.5000  0.5000  0.5000  4 Mg 3.20, 4 Gd 3.20


Respective formation energy values: -0.234, -0.252, -0.056 eV per atom.